# 1
Material: KAgPb2
Method: DFT, PBEsol
State: optimized geometry

Structure (extended XYZ):
```
4
Lattice="-0.308 -2.702 -1.670 1.661 -2.588 5.556 -5.936 2.357 -0.505" Properties=species:S:1:pos:R:3 pbc="T T T"
Ag 0.830 -1.294 2.778
K -0.154 -1.351 -0.835
Pb -2.292 -1.467 1.690
Pb -2.968 1.178 -0.252
```

Output
The formation energy comes out at 16.2 kJ/mol of atoms. The electronic total energy is -11.77 eV per cell.



# 2
Material: KAgPb2
Method: DFT, PBEsol
State: optimized geometry

Structure (extended XYZ):
```
4
Lattice="3.177 0.000 0.000 0.000 6.140 0.007 0.000 -2.651 5.538" Properties=species:S:1:pos:R:3 pbc="T T T"
Ag 1.588 0.000 0.000
K 1.588 1.744 2.772
Pb 0.000 3.070 0.003
Pb 0.000 -1.325 2.769
```

Output
The formation energy comes out at 14.3 kJ/mol of atoms. The electronic total energy is -11.85 eV per cell.



# 3
Material: KAgPb2
Method: DFT, PBEsol
State: optimized geometry

Structure (extended XYZ):
```
4
Lattice="3.385 0.000 0.000 0.000 5.934 0.000 -1.693 -2.967 5.634" Properties=species:S:1:pos:R:3 pbc="T T T"
Pb 1.693 2.967 3.244
Pb 0.000 0.000 2.390
K 0.000 2.967 0.000
Ag 1.693 0.000 0.000
```

Output
The formation energy comes out at -1.8 kJ/mol of atoms. The electronic total energy is -12.52 eV per cell.



# 4
Material: KAg2Pb
Method: DFT, PBEsol
State: optimized geometry

Structure (extended XYZ):
```
4
Lattice="-3.040 -2.130 -3.166 -0.344 -4.864 -0.157 -5.447 -2.156 2.921" Properties=species:S:1:pos:R:3 pbc="T T T"
Ag -5.796 -6.896 -1.073
Ag -3.035 -2.254 0.671
K 0.000 0.000 0.000
Pb -4.416 -4.575 -0.201
```

Output
The formation energy comes out at 4.6 kJ/mol of atoms. The electronic total energy is -11.56 eV per cell.



- Among the records above, which one has the highest electronic total energy?
  KAg2Pb